(1)
{
  "formula": "BeIn4Rh",
  "functional": "PBE",
  "state": "optimized geometry",
  "lattice": [[0.000, 4.080, 4.080], [4.080, 0.000, 4.080], [4.080, 4.080, 0.000]],
  "species": ["Be", "In", "In", "In", "In", "Rh"],
  "frac_coords": [[0.000, 0.000, 0.000], [0.126, 0.625, 0.625], [0.625, 0.126, 0.625], [0.625, 0.625, 0.126], [0.625, 0.625, 0.625], [0.250, 0.250, 0.250]],
  "ef_mev_per_atom": 762,
  "total_energy_ev_per_atom": -2.909
}

(2)
{
  "formula": "ErHPd2Rh",
  "functional": "PBE",
  "state": "optimized geometry",
  "lattice": [[4.105, 0.000, 0.000], [0.000, 4.105, 0.000], [0.000, 0.000, 4.128]],
  "species": ["Er", "H", "Pd", "Pd", "Rh"],
  "frac_coords": [[0.000, 0.000, 0.000], [0.500, 0.500, 0.500], [0.000, 0.500, 0.500], [0.500, 0.000, 0.500], [0.500, 0.500, 0.000]],
  "total_energy_ev_per_atom": -5.806
}

(3)
{
  "formula": "Mg2In3Bi3",
  "functional": "PBE",
  "state": "optimized geometry",
  "lattice": [[9.936, 0.000, 0.000], [0.000, 16.659, 0.000], [0.000, 0.000, 5.570]],
  "species": ["Mg", "Mg", "Mg", "Mg", "Mg", "Mg", "Mg", "Mg", "In", "In", "In", "In", "In", "In", "In", "In", "In", "In", "In", "In", "Bi", "Bi", "Bi", "Bi", "Bi", "Bi", "Bi", "Bi", "Bi", "Bi", "Bi", "Bi"],
  "frac_coords": [[0.100, 0.141, 0.234], [0.100, 0.359, 0.234], [0.400, 0.641, 0.734], [0.400, 0.859, 0.734], [0.600, 0.141, 0.266], [0.600, 0.359, 0.266], [0.900, 0.641, 0.766], [0.900, 0.859, 0.766], [0.074, 0.617, 0.263], [0.074, 0.883, 0.263], [0.144, 0.750, 0.753], [0.356, 0.250, 0.253], [0.426, 0.117, 0.763], [0.426, 0.383, 0.763], [0.574, 0.617, 0.237], [0.574, 0.883, 0.237], [0.644, 0.750, 0.747], [0.856, 0.250, 0.247], [0.926, 0.117, 0.737], [0.926, 0.383, 0.737], [0.161, 0.532, 0.763], [0.161, 0.968, 0.763], [0.170, 0.250, 0.749], [0.330, 0.750, 0.249], [0.339, 0.032, 0.263], [0.339, 0.468, 0.263], [0.661, 0.532, 0.737], [0.661, 0.968, 0.737], [0.670, 0.250, 0.751], [0.830, 0.750, 0.251], [0.839, 0.032, 0.237], [0.839, 0.468, 0.237]],
  "ef_mev_per_atom": -27,
  "total_energy_ev_per_atom": -2.908
}

(4)
{
  "formula": "LiScAs4",
  "functional": "PBE",
  "state": "optimized geometry",
  "lattice": [[0.000, 3.937, 3.937], [3.937, 0.000, 3.937], [3.937, 3.937, 0.000]],
  "species": ["Li", "Sc", "As", "As", "As", "As"],
  "frac_coords": [[0.000, 0.000, 0.000], [0.750, 0.750, 0.750], [0.374, 0.374, 0.374], [0.374, 0.374, 0.878], [0.374, 0.878, 0.374], [0.878, 0.374, 0.374]],
  "ef_mev_per_atom": -81,
  "total_energy_ev_per_atom": -4.554
}

(5)
{
  "formula": "AgMoIr3",
  "functional": "PBE",
  "state": "optimized geometry",
  "lattice": [[4.722, 0.000, 0.000], [0.000, 4.722, 0.000], [0.000, 0.000, 4.722]],
  "species": ["Ag", "Mo", "Ir", "Ir", "Ir"],
  "frac_coords": [[0.000, 0.000, 0.000], [0.500, 0.500, 0.500], [0.000, 0.500, 0.500], [0.500, 0.000, 0.500], [0.500, 0.500, 0.000]],
  "ef_mev_per_atom": 1554,
  "polymorph_energy_mev_per_atom": 0.0,
  "total_energy_ev_per_atom": -6.499
}

(6)
{
  "formula": "Li5In2Ga2",
  "functional": "PBE",
  "state": "optimized geometry",
  "lattice": [[6.614, -3.599, 0.000], [6.614, 3.599, 0.000], [0.000, 0.000, 7.230]],
  "species": ["Li", "Li", "Li", "Li", "Li", "Li", "Li", "Li", "Li", "Li", "In", "In", "In", "In", "Ga", "Ga", "Ga", "Ga"],
  "frac_coords": [[0.000, 0.000, 0.000], [0.062, 0.686, 0.693], [0.186, 0.562, 0.193], [0.314, 0.938, 0.693], [0.438, 0.814, 0.193], [0.500, 0.500, 0.500], [0.562, 0.186, 0.807], [0.686, 0.062, 0.307], [0.814, 0.438, 0.807], [0.938, 0.314, 0.307], [0.225, 0.225, 0.000], [0.275, 0.275, 0.500], [0.725, 0.725, 0.500], [0.775, 0.775, 0.000], [0.124, 0.876, 0.380], [0.376, 0.624, 0.880], [0.624, 0.376, 0.120], [0.876, 0.124, 0.620]],
  "ef_mev_per_atom": -154,
  "total_energy_ev_per_atom": -2.498
}

(7)
{
  "formula": "AcLa6Cd3",
  "functional": "PBE",
  "state": "optimized geometry",
  "lattice": [[6.935, -6.604, 0.000], [6.935, 6.604, 0.000], [0.000, 0.000, 7.668]],
  "species": ["Ac", "Ac", "La", "La", "La", "La", "La", "La", "La", "La", "La", "La", "La", "La", "Cd", "Cd", "Cd", "Cd", "Cd", "Cd"],
  "frac_coords": [[0.225, 0.775, 0.500], [0.775, 0.225, 0.000], [0.088, 0.489, 0.792], [0.180, 0.220, 0.499], [0.203, 0.797, 0.033], [0.220, 0.180, 0.999], [0.463, 0.537, 0.909], [0.489, 0.088, 0.292], [0.511, 0.912, 0.792], [0.537, 0.463, 0.409], [0.780, 0.820, 0.499], [0.797, 0.203, 0.533], [0.820, 0.780, 0.999], [0.912, 0.511, 0.292], [0.009, 0.991, 0.757], [0.240, 0.480, 0.217], [0.480, 0.240, 0.717], [0.520, 0.760, 0.217], [0.760, 0.520, 0.717], [0.991, 0.009, 0.257]],
  "ef_mev_per_atom": -91,
  "total_energy_ev_per_atom": -3.733
}

(8)
{
  "formula": "AcAl3H",
  "functional": "PBE",
  "state": "optimized geometry",
  "lattice": [[4.636, 0.000, 0.000], [0.000, 4.636, 0.000], [0.000, 0.000, 4.636]],
  "species": ["Ac", "Al", "Al", "Al", "H"],
  "frac_coords": [[0.000, 0.000, 0.000], [0.000, 0.500, 0.500], [0.500, 0.000, 0.500], [0.500, 0.500, 0.000], [0.500, 0.500, 0.500]],
  "total_energy_ev_per_atom": -3.681
}

Repeat the fifth record exactly.
{
  "formula": "AgMoIr3",
  "functional": "PBE",
  "state": "optimized geometry",
  "lattice": [[4.722, 0.000, 0.000], [0.000, 4.722, 0.000], [0.000, 0.000, 4.722]],
  "species": ["Ag", "Mo", "Ir", "Ir", "Ir"],
  "frac_coords": [[0.000, 0.000, 0.000], [0.500, 0.500, 0.500], [0.000, 0.500, 0.500], [0.500, 0.000, 0.500], [0.500, 0.500, 0.000]],
  "ef_mev_per_atom": 1554,
  "polymorph_energy_mev_per_atom": 0.0,
  "total_energy_ev_per_atom": -6.499
}

- What is the formula in the second record?
  ErHPd2Rh

What did the seventh record say?
{
  "formula": "AcLa6Cd3",
  "functional": "PBE",
  "state": "optimized geometry",
  "lattice": [[6.935, -6.604, 0.000], [6.935, 6.604, 0.000], [0.000, 0.000, 7.668]],
  "species": ["Ac", "Ac", "La", "La", "La", "La", "La", "La", "La", "La", "La", "La", "La", "La", "Cd", "Cd", "Cd", "Cd", "Cd", "Cd"],
  "frac_coords": [[0.225, 0.775, 0.500], [0.775, 0.225, 0.000], [0.088, 0.489, 0.792], [0.180, 0.220, 0.499], [0.203, 0.797, 0.033], [0.220, 0.180, 0.999], [0.463, 0.537, 0.909], [0.489, 0.088, 0.292], [0.511, 0.912, 0.792], [0.537, 0.463, 0.409], [0.780, 0.820, 0.499], [0.797, 0.203, 0.533], [0.820, 0.780, 0.999], [0.912, 0.511, 0.292], [0.009, 0.991, 0.757], [0.240, 0.480, 0.217], [0.480, 0.240, 0.717], [0.520, 0.760, 0.217], [0.760, 0.520, 0.717], [0.991, 0.009, 0.257]],
  "ef_mev_per_atom": -91,
  "total_energy_ev_per_atom": -3.733
}